{
  "formula": "BeReSi4",
  "functional": "PBE",
  "state": "optimized geometry",
  "cell": [[0.000, 3.403, 3.403], [3.403, 0.000, 3.403], [3.403, 3.403, 0.000]],
  "species": ["Be", "Re", "Si", "Si", "Si", "Si"],
  "frac_coords": [[0.000, 0.000, 0.000], [0.750, 0.750, 0.750], [0.375, 0.375, 0.375], [0.375, 0.375, 0.875], [0.375, 0.875, 0.375], [0.875, 0.375, 0.375]],
  "e_tot_ev_per_cell": -33.9,
  "formation_energy_uncorrected_kj_per_mol_atoms": 63.35
}